(1)
Crystalline Dy2Y2Sc5 at its relaxed geometry. Source: Alexandria, functional PBE.

It has space group Ima2 (No. 46), with a = 11.652 Å, b = 8.329 Å, c = 10.475 Å, α = 90.00°, β = 90.00° and γ = 90.00°. Symmetry generates all atoms from Dy at (0.000, 0.000, 0.000), Dy at (0.250, 0.106, 0.124), Y at (0.105, 0.126, 0.433), Sc at (0.100, 0.694, 0.741), Sc at (0.126, 0.061, 0.738) and Sc at (0.250, 0.725, 0.996).

The value obtained for the energy is -208.05 eV/cell. As for the spin magnetization: 0.000 μB/cell.



(2)
Crystalline Dy3Y2Sc2 at its relaxed geometry. Source: Alexandria, functional PBE.

It has space group P2_1/c (No. 14), with a = 6.263 Å, b = 10.518 Å, c = 6.435 Å, α = 90.00°, β = 92.87° and γ = 90.00°. Symmetry generates all atoms from Dy at (0.000, 0.000, 0.000), Dy at (0.257, 0.059, 0.530), Y at (0.144, 0.739, 0.748) and Sc at (0.445, 0.144, 0.032).

The value obtained for the energy is -75.65 eV/cell. The value obtained for the energy above the most stable polymorph in this dataset is 0.0 kJ/mol of atoms. As for the spin magnetization: 0.001 μB/cell.



(3)
Crystalline Dy6Y3Sc at its relaxed geometry. Source: Alexandria, functional PBE.

It has space group Cmc2_1 (No. 36), with a = 10.934 Å, b = 18.900 Å, c = 6.116 Å, α = 90.00°, β = 90.00° and γ = 90.00°. Symmetry generates all atoms from Dy at (0.000, 0.049, 0.000), Dy at (0.000, 0.279, 0.706), Dy at (0.165, 0.454, 0.603), Dy at (0.245, 0.289, 0.429), Y at (0.000, 0.388, 0.135), Y at (0.166, 0.110, 0.525) and Sc at (0.000, 0.207, 0.202).

The value obtained for the energy is -207.84 eV/cell. The value obtained for the energy above the most stable polymorph in this dataset is 0.0 kJ/mol of atoms. As for the spin magnetization: 0.001 μB/cell.



(4)
Crystalline Dy4YSc6 at its relaxed geometry. Source: Alexandria, functional PBE.

It has space group P-6m2 (No. 187), with a = 8.5254 Å, b = 8.5254 Å, c = 5.0745 Å, α = 90.00°, β = 90.00° and γ = 120.00°. Symmetry generates all atoms from Dy at (0.0000, 0.0000, 0.0000), Dy at (0.5292, 0.0583, 0.5000), Y at (0.3333, 0.6667, 0.0000), Sc at (0.1189, 0.2378, 0.5000) and Sc at (0.4107, 0.2053, 0.0000).

The value obtained for the energy is -59.14 eV/cell. As for the spin magnetization: 0.000 μB/cell.



(5)
Crystalline Dy3Y8Sc4 at its relaxed geometry. Source: Alexandria, functional PBE.

It has space group C2/m (No. 12), with a = 13.064 Å, b = 11.894 Å, c = 6.615 Å, α = 90.00°, β = 115.63° and γ = 90.00°. Symmetry generates all atoms from Dy at (0.000, 0.000, 0.000), Dy at (0.250, 0.250, 0.500), Y at (0.000, 0.205, 0.500), Y at (0.000, 0.262, 0.000), Y at (0.203, 0.000, 0.662), Y at (0.232, 0.500, 0.805), Sc at (0.000, 0.500, 0.000), Sc at (0.000, 0.500, 0.500) and Sc at (0.250, 0.250, 0.000).

The value obtained for the energy is -169.99 eV/cell. As for the spin magnetization: 1.438 μB/cell.



(6)
Crystalline DyY3Sc3 at its relaxed geometry. Source: Alexandria, functional PBE.

It has space group R-3 (No. 148, hexagonal axes), with a = 5.9631 Å, b = 5.9631 Å, c = 41.0913 Å, α = 90.00°, β = 90.00° and γ = 120.00°. Symmetry generates all atoms from Dy at (0.0000, 0.0000, 0.1667), Y at (0.9998, 0.3332, 0.0965) and Sc at (0.0002, 0.3325, 0.6360).

The value obtained for the energy is -250.91 eV/cell. The value obtained for the energy above the most stable polymorph in this dataset is 13.4 kJ/mol of atoms. As for the spin magnetization: 0.000 μB/cell.



(7)
Crystalline Dy2Y4Sc3 at its relaxed geometry. Source: Alexandria, functional PBE.

It has space group C2/c (No. 15), with a = 15.540 Å, b = 11.301 Å, c = 6.046 Å, α = 90.00°, β = 94.81° and γ = 90.00°. Symmetry generates all atoms from Dy at (0.118, 0.143, 0.325), Y at (0.049, 0.358, 0.009), Y at (0.214, 0.140, 0.843), Sc at (0.000, 0.097, 0.750) and Sc at (0.167, 0.401, 0.583).

The value obtained for the energy is -212.19 eV/cell. As for the spin magnetization: 0.000 μB/cell.



(8)
Crystalline Dy5Y2Sc12 at its relaxed geometry. Source: Alexandria, functional PBE.

It has space group C2/m (No. 12), with a = 14.666 Å, b = 8.668 Å, c = 8.253 Å, α = 90.00°, β = 93.09° and γ = 90.00°. Symmetry generates all atoms from Dy at (0.000, 0.000, 0.000), Dy at (0.214, 0.500, 0.514), Dy at (0.235, 0.000, 0.075), Y at (0.000, 0.321, 0.500), Sc at (0.052, 0.500, 0.839), Sc at (0.069, 0.000, 0.370), Sc at (0.130, 0.312, 0.165) and Sc at (0.147, 0.178, 0.750).

The value obtained for the energy is -218.57 eV/cell. As for the spin magnetization: 0.000 μB/cell.



Q: Which formula does entry 4 have?
A: Dy4YSc6



Q: Which value of energy does entry 3 give?
A: -207.84 eV/cell



Q: Look up the energy of the fourth one.
A: -59.14 eV/cell



Copy entry 7 word for word.
Crystalline Dy2Y4Sc3 at its relaxed geometry. Source: Alexandria, functional PBE.

It has space group C2/c (No. 15), with a = 15.540 Å, b = 11.301 Å, c = 6.046 Å, α = 90.00°, β = 94.81° and γ = 90.00°. Symmetry generates all atoms from Dy at (0.118, 0.143, 0.325), Y at (0.049, 0.358, 0.009), Y at (0.214, 0.140, 0.843), Sc at (0.000, 0.097, 0.750) and Sc at (0.167, 0.401, 0.583).

The value obtained for the energy is -212.19 eV/cell. As for the spin magnetization: 0.000 μB/cell.